(1)
Material: SiIN2
Method: DFT, GGA-PBE
State: optimized geometry

Summary:
- SG: Fm-3m, No. 225
- Offset from the most stable computed form: 1776.0 meV/atom
- Uncorrected energy: -3.7475 eV per atom
- E_form (uncorrected): 8.634 eV per formula unit

Cell: 4.1625 4.1625 4.1625 Å, 60.00 60.00 60.00°
With the nearest neighbours (Å) after each atom.
Fractional positions:
I (0.5000, 0.5000, 0.5000)  8 N 2.55
Si (0.0000, 0.0000, 0.0000)  8 N 2.55
N (0.2500, 0.2500, 0.2500)  4 I 2.55, 4 Si 2.55
N (0.7500, 0.7500, 0.7500)  4 I 2.55, 4 Si 2.55

***

(2)
Material: ZrTi3Pd7
Method: DFT, GGA-PBE
State: optimized geometry

Summary:
- Energy of formation from the pure elements: -36.66 kJ per mole of atoms
- SG: C2/m, No. 12
- Uncorrected energy: -6.6147 eV per atom

Cell: 5.1571 7.0770 7.0770 Å, 84.53 119.82 119.82°
With the nearest neighbours (Å) after each atom.
Fractional positions:
Zr (0.5000, 0.5000, 0.5000)  4 Pd 2.58-2.75
Ti (0.0000, 0.7721, 0.2279)  7 Pd 2.58-2.61
Ti (0.5000, 0.0000, 0.0000)  6 Pd 2.59-2.73
Ti (0.0000, 0.2279, 0.7721)  7 Pd 2.58-2.61
Pd (0.2908, 0.1798, 0.1798)  3 Ti 2.59-2.73, 1 Zr 2.75, 2 Pd 2.83-2.85
Pd (0.3361, 0.0519, 0.5962)  3 Ti 2.58-2.61, 2 Pd 2.72-2.84
Pd (0.6639, 0.4038, 0.9481)  3 Ti 2.58-2.61, 2 Pd 2.72-2.84
Pd (0.3361, 0.5962, 0.0519)  3 Ti 2.58-2.61, 2 Pd 2.72-2.84
Pd (0.0000, 0.5000, 0.5000)  2 Zr 2.58, 2 Ti 2.59, 2 Pd 2.85
Pd (0.6639, 0.9481, 0.4038)  3 Ti 2.58-2.61, 2 Pd 2.72-2.84
Pd (0.7092, 0.8202, 0.8202)  3 Ti 2.59-2.73, 1 Zr 2.75, 2 Pd 2.83-2.85

***

These records have magnetization values of 0.0 0.0 μB/f.u., in the order they appear.